BaSrOs2Pt: optimized geometry, PBE.

Cell: 4.979 4.979 5.603 Å, 90.00 90.00 90.00°
Space group P4/mmm (No. 123)
Unique sites:
Ba 0.000 0.000 0.000 (multiplicity 1)
Sr 0.500 0.500 0.000 (multiplicity 1)
Os 0.000 0.500 0.500 (multiplicity 2)
Pt 0.000 0.000 0.500 (multiplicity 1)

Summary:
E_tot in eV/atom: -5.28
Formation enthalpy at 0 K in eV/f.u.: 5.71

Ba2YOsPt: optimized geometry, PBE.

Cell: 6.388 6.388 4.763 Å, 90.00 90.00 90.00°
Space group P4/mmm (No. 123)
Unique sites:
Ba 0.000 0.500 0.000 (multiplicity 2)
Y 0.000 0.000 0.000 (multiplicity 1)
Os 0.000 0.000 0.500 (multiplicity 1)
Pt 0.500 0.500 0.500 (multiplicity 1)

Summary:
E_tot in eV/atom: -4.36
Formation enthalpy at 0 K in eV/f.u.: 5.77

RbBaOs: optimized geometry, PBE.

Cell: 4.904 27.832 4.302 Å, 90.00 90.00 90.00°
Space group Cmcm (No. 63)
Unique sites:
Rb 0.000 0.181 0.250 (multiplicity 4)
Ba 0.000 0.439 0.250 (multiplicity 4)
Os 0.000 0.019 0.250 (multiplicity 4)

Summary:
E_tot in eV/atom: -4.36
Energy above the most stable polymorph in this dataset in meV/atom: 143
Formation enthalpy at 0 K in eV/f.u.: 1.03

RbBaOs: optimized geometry, PBE.

Cell: 7.521 4.341 17.701 Å, 90.00 90.16 90.00°
Space group C2/m (No. 12)
Unique sites:
Rb 0.173 0.000 0.377 (multiplicity 4)
Ba 0.001 0.500 0.130 (multiplicity 4)
Os 0.167 0.000 0.004 (multiplicity 4)

Summary:
E_tot in eV/atom: -4.51
Energy above the most stable polymorph in this dataset in meV/atom: 2
Formation enthalpy at 0 K in eV/f.u.: 0.60

RbBaOs: optimized geometry, PBE.

Cell: 4.359 4.359 17.760 Å, 83.03 83.27 60.17°
Space group P1 (No. 1)
Unique sites:
Rb 0.000 0.000 0.000 (multiplicity 1)
Rb 0.239 0.258 0.245 (multiplicity 1)
Ba 0.742 0.748 0.752 (multiplicity 1)
Ba 0.822 0.836 0.493 (multiplicity 1)
Os 0.109 0.119 0.623 (multiplicity 1)
Os 0.455 0.465 0.623 (multiplicity 1)

Summary:
E_tot in eV/atom: -4.51
Energy above the most stable polymorph in this dataset in meV/atom: 0
Formation enthalpy at 0 K in eV/f.u.: 0.60

RbBaOs3: optimized geometry, PBE.

Cell: 5.351 5.351 5.351 Å, 90.00 90.00 90.00°
Space group Pm-3m (No. 221)
Unique sites:
Rb 0.000 0.000 0.000 (multiplicity 1)
Ba 0.500 0.500 0.500 (multiplicity 1)
Os 0.000 0.500 0.500 (multiplicity 3)

Summary:
E_tot in eV/atom: -4.00
Energy above the most stable polymorph in this dataset in meV/atom: 0
Formation enthalpy at 0 K in eV/f.u.: 16.60

Rb3BaOs: optimized geometry, PBE.

Cell: 6.682 6.682 6.682 Å, 90.00 90.00 90.00°
Space group Pm-3m (No. 221)
Unique sites:
Rb 0.000 0.000 0.500 (multiplicity 3)
Ba 0.500 0.500 0.500 (multiplicity 1)
Os 0.000 0.000 0.000 (multiplicity 1)

Summary:
E_tot in eV/atom: -2.01
Formation enthalpy at 0 K in eV/f.u.: 6.02

RbBaOs: optimized geometry, PBE.

Cell: 22.915 5.484 4.292 Å, 90.00 90.26 90.00°
Space group Cm (No. 8)
Unique sites:
Rb 0.000 0.000 0.000 (multiplicity 2)
Rb 0.113 0.500 0.507 (multiplicity 2)
Ba 0.252 0.500 0.008 (multiplicity 2)
Ba 0.358 0.000 0.495 (multiplicity 2)
Os 0.177 0.000 0.011 (multiplicity 2)
Os 0.223 0.000 0.512 (multiplicity 2)

Summary:
E_tot in eV/atom: -4.17
Energy above the most stable polymorph in this dataset in meV/atom: 340
Formation enthalpy at 0 K in eV/f.u.: 1.62

RbBaOs: optimized geometry, PBE.

Cell: 4.224 4.224 18.208 Å, 89.95 89.94 60.01°
Space group P1 (No. 1)
Unique sites:
Rb 0.000 0.000 0.000 (multiplicity 1)
Rb 0.334 0.327 0.760 (multiplicity 1)
Ba 0.338 0.337 0.235 (multiplicity 1)
Ba 0.671 0.669 0.524 (multiplicity 1)
Os 0.005 0.003 0.378 (multiplicity 1)
Os 0.338 0.336 0.402 (multiplicity 1)

Summary:
E_tot in eV/atom: -4.43
Energy above the most stable polymorph in this dataset in meV/atom: 82
Formation enthalpy at 0 K in eV/f.u.: 0.84

Rb2BaOs: optimized geometry, PBE.

Cell: 8.439 8.439 8.439 Å, 90.00 90.00 90.00°
Space group Fm-3m (No. 225)
Unique sites:
Rb 0.250 0.250 0.250 (multiplicity 8)
Ba 0.000 0.000 0.000 (multiplicity 4)
Os 0.000 0.000 0.500 (multiplicity 4)

Summary:
E_tot in eV/atom: -2.37
Energy above the most stable polymorph in this dataset in meV/atom: 124
Formation enthalpy at 0 K in eV/f.u.: 5.62

RbBa2Os: optimized geometry, PBE.

Cell: 8.110 8.110 8.110 Å, 90.00 90.00 90.00°
Space group Fm-3m (No. 225)
Unique sites:
Rb 0.000 0.000 0.000 (multiplicity 4)
Ba 0.250 0.250 0.250 (multiplicity 8)
Os 0.000 0.000 0.500 (multiplicity 4)

Summary:
E_tot in eV/atom: -3.16
Energy above the most stable polymorph in this dataset in meV/atom: 119
Formation enthalpy at 0 K in eV/f.u.: 3.41

Rb2BaOs: optimized geometry, PBE.

Cell: 4.942 4.942 27.181 Å, 90.00 90.00 90.00°
Space group I-42d (No. 122)
Unique sites:
Rb 0.227 0.250 0.125 (multiplicity 8)
Ba 0.000 0.000 0.500 (multiplicity 4)
Os 0.000 0.000 0.000 (multiplicity 4)

Summary:
E_tot in eV/atom: -2.49
Energy above the most stable polymorph in this dataset in meV/atom: 0
Formation enthalpy at 0 K in eV/f.u.: 5.12